Computed, not measured: an optimized crystal structure of HfMg6CoO8 at the PBE+U level of DFT.

## Properties
Total moment = 0.1245 μB/atom
Relative energy among the computed polymorphs = 27 meV per atom
Density of states at the Fermi level = 0.079 states/eV/atom

abc: 4.334 4.334 8.841
angles: 90.00 90.00 90.00
Space group P4/mmm (No. 123)
One atom of each set of equivalent atoms:
Hf (0.000, 0.000, 0.000) [1 per cell]
Mg (0.000, 0.500, 0.271) [4 per cell]
Mg (0.500, 0.500, 0.000) [1 per cell]
Mg (0.500, 0.500, 0.500) [1 per cell]
Co (0.000, 0.000, 0.500) [1 per cell]
O (0.000, 0.000, 0.234) [2 per cell]
O (0.000, 0.500, 0.000) [2 per cell]
O (0.000, 0.500, 0.500) [2 per cell]
O (0.500, 0.500, 0.250) [2 per cell]